# FeReF2

FeReF2 after structural relaxation (PBE+U, Alexandria).

Cell lengths 9.057, 9.057, 9.057 Å; angles 17.47, 17.47, 17.47 degrees
Last column: magnetic moment on the atom in μB.
Element x y z (fractional)
F 0.882 0.882 0.882  0.08
Fe 0.500 0.500 0.500  3.75
F 0.118 0.118 0.118  0.08
Re 0.000 0.000 0.000  -0.76

Total moment: 2.94 μB/f.u.
Energy above the most stable polymorph in this dataset: 0 meV per atom